RbUTe4Au2 | PBE | optimized geometry

* E_form (uncorrected): -0.377 eV per atom
* DOS(E_F): 3.1 states/eV/f.u.
* E_tot: -4.299 eV/atom
* magnetization: 1.00 μB per formula unit

Cell lengths 5.1227, 8.7300, 8.7300 Å; angles 101.83, 72.94, 72.94 degrees
Closest atoms and distances in Å follow each position.
Fractional positions:
Au (0.8242, 0.6758, 0.6758)  2 Te 2.66
Te (0.1284, 0.8460, 0.5391)  1 Au 2.66, 1 U 2.95
Te (0.5134, 0.1540, 0.4609)  1 Au 2.66, 1 U 2.95
Te (0.8716, 0.4609, 0.1540)  1 Au 2.66, 1 U 2.95
Au (0.1758, 0.3242, 0.3242)  2 Te 2.66
U (0.5000, 0.5000, 0.5000)  4 Te 2.95, 4 Au 3.08
Te (0.4866, 0.5391, 0.8460)  1 Au 2.66, 1 U 2.95
Rb (0.0000, 0.0000, 0.0000)  4 Te 3.76, 4 Au 4.07

---

Rb2UTe4Au2 | PBE | optimized geometry

* E_form (uncorrected): -0.685 eV per atom
* DOS(E_F): 4.3 states/eV/f.u.
* E_tot: -4.279 eV/atom
* magnetization: 2.00 μB per formula unit

Cell lengths 4.6270, 8.2600, 9.9537 Å; angles 117.27, 103.44, 90.00 degrees
Closest atoms and distances in Å follow each position.
Fractional positions:
Te (0.5127, 0.2688, 0.0255)  1 Au 2.74
U (0.0000, 0.0000, 0.0000)  6 Te 3.13-3.19, 4 Au 3.31
Te (0.1865, 0.2256, 0.3731)  2 Au 2.71
Te (0.4873, 0.7312, 0.9745)  1 Au 2.74
Te (0.8135, 0.7744, 0.6269)  2 Au 2.71
Rb (0.1439, 0.6756, 0.2878)  8 Te 3.78-4.22, 3 Au 3.88-3.91
Au (0.3703, 0.9596, 0.7406)  3 Te 2.71-2.74
Au (0.6297, 0.0404, 0.2594)  3 Te 2.71-2.74
Rb (0.8561, 0.3244, 0.7122)  8 Te 3.78-4.22, 3 Au 3.88-3.91

---

Rb3UTe6Au2 | PBE | optimized geometry

* E_form (uncorrected): -0.530 eV per atom
* DOS(E_F): 9.1 states/eV/f.u.
* E_tot: -3.830 eV/atom
* magnetization: 0.31 μB per formula unit

Cell lengths 8.4707, 8.4707, 9.7471 Å; angles 90.00, 90.00, 120.00 degrees
Closest atoms and distances in Å follow each position.
Fractional positions:
Te (0.1527, 0.8473, 0.3026)  1 Au 2.65, 1 U 2.95
Au (0.6667, 0.3333, 0.6855)  3 Te 2.65
Te (0.6946, 0.8473, 0.3026)  1 Au 2.65, 1 U 2.95
Rb (0.6667, 0.3333, 0.3366)  1 Au 3.40
Au (0.3333, 0.6667, 0.3145)  3 Te 2.65
Te (0.8473, 0.6946, 0.6974)  1 Au 2.65, 1 U 2.95
Te (0.3054, 0.1527, 0.6974)  1 Au 2.65, 1 U 2.95
U (0.0000, 0.0000, 0.5000)  6 Te 2.95
Te (0.8473, 0.1527, 0.6974)  1 Au 2.65, 1 U 2.95
Te (0.1527, 0.3054, 0.3026)  1 Au 2.65, 1 U 2.95
Rb (0.0000, 0.0000, 0.0000)  6 Te 3.70
Rb (0.3333, 0.6667, 0.6634)  1 Au 3.40

---

RbU4Te12Au3 | PBE | optimized geometry

* E_form (uncorrected): -0.354 eV per atom
* DOS(E_F): 28.7 states/eV/f.u.
* E_tot: -5.036 eV/atom
* magnetization: 6.57 μB per formula unit

Cell lengths 9.6542, 9.6542, 9.6542 Å; angles 109.47, 109.47, 109.47 degrees
Closest atoms and distances in Å follow each position.
Fractional positions:
Te (0.8287, 0.1454, 0.3167)  1 Au 2.80, 2 U 3.01
U (0.0000, 0.0000, 0.5000)  6 Te 3.01
U (0.5000, 0.0000, 0.0000)  6 Te 3.01
Te (0.1454, 0.3167, 0.8287)  1 Au 2.80, 2 U 3.01
Te (0.6833, 0.1713, 0.8546)  1 Au 2.80, 2 U 3.01
Te (0.3167, 0.8287, 0.1454)  1 Au 2.80, 2 U 3.01
U (0.5000, 0.5000, 0.5000)  6 Te 3.01
Rb (0.0000, 0.0000, 0.0000)  12 Te 4.01
Te (0.8287, 0.5119, 0.6833)  1 Au 2.80, 2 U 3.01
Te (0.6833, 0.8287, 0.5119)  1 Au 2.80, 2 U 3.01
Au (0.5000, 0.5000, 0.0000)  4 Te 2.80
Au (0.5000, 0.0000, 0.5000)  4 Te 2.80
Te (0.4881, 0.3167, 0.1713)  1 Au 2.80, 2 U 3.01
Te (0.1713, 0.8546, 0.6833)  1 Au 2.80, 2 U 3.01
Au (0.0000, 0.5000, 0.5000)  4 Te 2.80
Te (0.5119, 0.6833, 0.8287)  1 Au 2.80, 2 U 3.01
U (0.0000, 0.5000, 0.0000)  6 Te 3.01
Te (0.1713, 0.4881, 0.3167)  1 Au 2.80, 2 U 3.01
Te (0.8546, 0.6833, 0.1713)  1 Au 2.80, 2 U 3.01
Te (0.3167, 0.1713, 0.4881)  1 Au 2.80, 2 U 3.01

---

Rb2UTe4Au | PBE | optimized geometry

* E_form (uncorrected): -0.571 eV per atom
* DOS(E_F): 2.6 states/eV/f.u.
* E_tot: -4.204 eV/atom
* magnetization: 0.97 μB per formula unit

Cell lengths 6.6870, 8.3936, 13.9671 Å; angles 84.53, 76.15, 66.53 degrees
Closest atoms and distances in Å follow each position.
Fractional positions:
U (0.0000, 0.0000, 0.0000)  4 Te 2.86
Rb (0.8187, 0.0000, 0.3627)  8 Te 3.95-4.17
Te (0.4389, 0.7217, 0.3873)  1 Au 2.81, 1 U 2.86
Te (0.1738, 0.2783, 0.3873)  1 Au 2.81, 1 U 2.86
Te (0.8394, 0.7217, 0.6127)  1 Au 2.81, 1 U 2.86
Te (0.5480, 0.2783, 0.6127)  1 Au 2.81, 1 U 2.86
Rb (0.5687, 0.5000, 0.8627)  8 Te 3.95-4.17
Te (0.2020, 0.2217, 0.8873)  1 Au 2.81, 1 U 2.86
Rb (0.9313, 0.5000, 0.1373)  8 Te 3.95-4.17
Au (0.2500, 0.5000, 0.5000)  4 Te 2.81
Te (0.9106, 0.7783, 0.8873)  1 Au 2.81, 1 U 2.86
U (0.7500, 0.5000, 0.5000)  4 Te 2.86
Te (0.3111, 0.7783, 0.1127)  1 Au 2.81, 1 U 2.86
Au (0.5000, 0.0000, 0.0000)  4 Te 2.81
Te (0.5762, 0.2217, 0.1127)  1 Au 2.81, 1 U 2.86
Rb (0.1813, 0.0000, 0.6373)  8 Te 3.95-4.17

---

Rb2UTe6Au2 | PBE | optimized geometry

* E_form (uncorrected): -0.419 eV per atom
* DOS(E_F): 4.5 states/eV/f.u.
* E_tot: -3.931 eV/atom
* magnetization: 0.00 μB per formula unit

Cell lengths 8.5745, 8.4459, 8.4748 Å; angles 119.55, 90.00, 120.50 degrees
Closest atoms and distances in Å follow each position.
Fractional positions:
Te (0.2589, 0.9730, 0.2324)  1 Au 2.65, 1 U 2.91
Rb (0.2529, 0.5058, 0.7669)  1 Au 3.57, 3 Te 3.95-3.96
U (0.5000, 0.0000, 0.5000)  6 Te 2.90-2.91
Au (0.0795, 0.1589, 0.2539)  3 Te 2.65-2.67
Te (0.7428, 0.4855, 0.7617)  1 Au 2.67, 1 U 2.90
Te (0.7411, 0.0270, 0.7676)  1 Au 2.65, 1 U 2.91
Rb (0.7471, 0.4942, 0.2331)  1 Au 3.57, 3 Te 3.95-3.96
Au (0.9205, 0.8411, 0.7461)  3 Te 2.65-2.67
Te (0.2859, 0.0270, 0.7676)  1 Au 2.65, 1 U 2.91
Te (0.2572, 0.5145, 0.2383)  1 Au 2.67, 1 U 2.90
Te (0.7141, 0.9730, 0.2324)  1 Au 2.65, 1 U 2.91

---

Rb2UTe5Au | PBE | optimized geometry

* E_form (uncorrected): -0.569 eV per atom
* DOS(E_F): 7.5 states/eV/f.u.
* E_tot: -4.147 eV/atom
* magnetization: 0.29 μB per formula unit

Cell lengths 4.3954, 11.2842, 14.8063 Å; angles 90.00, 90.00, 101.23 degrees
Closest atoms and distances in Å follow each position.
Fractional positions:
Te (0.2985, 0.5970, 0.3788)  1 Au 2.81, 2 U 3.01
Te (0.5030, 0.0061, 0.7754)  1 Au 2.66
Rb (0.1263, 0.2525, 0.6984)  6 Te 3.65-3.84, 2 Au 4.06
Te (0.6867, 0.3734, 0.1525)  2 U 2.98
Au (0.5772, 0.1543, 0.9169)  4 Te 2.66-2.81
Au (0.4228, 0.8457, 0.4169)  4 Te 2.66-2.81
Te (0.4970, 0.9939, 0.2754)  1 Au 2.66
Te (0.7015, 0.4030, 0.8788)  1 Au 2.81, 2 U 3.01
Rb (0.8784, 0.7568, 0.8407)  7 Te 3.66-3.96
Te (0.3188, 0.6376, 0.0196)  1 U 2.84
Te (0.3133, 0.6266, 0.6525)  2 U 2.98
U (0.8097, 0.6194, 0.5163)  6 Te 2.84-3.01
Te (0.0574, 0.1147, 0.0255)  2 Au 2.76, 1 U 2.95
Te (0.9426, 0.8853, 0.5255)  2 Au 2.76, 1 U 2.95
Rb (0.1216, 0.2432, 0.3407)  7 Te 3.66-3.96
Te (0.6812, 0.3624, 0.5196)  1 U 2.84
Rb (0.8737, 0.7475, 0.1984)  6 Te 3.65-3.84, 2 Au 4.06
U (0.1903, 0.3806, 0.0163)  6 Te 2.84-3.01

---

RbUTe4Au | PBE | optimized geometry

* E_form (uncorrected): -0.553 eV per atom
* DOS(E_F): 6.5 states/eV/f.u.
* E_tot: -4.567 eV/atom
* magnetization: 1.25 μB per formula unit

Cell lengths 7.7243, 6.2939, 10.3884 Å; angles 90.00, 110.50, 90.00 degrees
Closest atoms and distances in Å follow each position.
Fractional positions:
Au (0.7307, 0.2500, 0.6902)  4 Te 2.65-2.83
Au (0.2693, 0.7500, 0.3098)  4 Te 2.65-2.83
Rb (0.2142, 0.2500, 0.0561)  8 Te 3.66-4.01, 2 Au 4.03
U (0.2755, 0.2500, 0.5568)  8 Te 3.01-3.35, 1 Au 3.30
Rb (0.7858, 0.7500, 0.9439)  8 Te 3.66-4.01, 2 Au 4.03
Te (0.5667, 0.2500, 0.4096)  1 Au 2.74
Te (0.9678, 0.4917, 0.3046)  1 Au 2.83, 1 Te 3.04
Te (0.0322, 0.9917, 0.6954)  1 Au 2.83, 1 Te 3.04
Te (0.9678, 0.0083, 0.3046)  1 Au 2.83, 1 Te 3.04
Te (0.4689, 0.7500, 0.1477)  1 Au 2.65
U (0.7245, 0.7500, 0.4432)  8 Te 3.01-3.35, 1 Au 3.30
Te (0.0322, 0.5083, 0.6954)  1 Au 2.83, 1 Te 3.04
Te (0.5311, 0.2500, 0.8523)  1 Au 2.65
Te (0.4333, 0.7500, 0.5904)  1 Au 2.74